# La5Pr5Mg2 | Alexandria | PBE-GGA | relaxed
# Energy of formation, kcal/mol of atoms: -0.15
# Final energy, eV per atom: -4.317
data_La5Pr5Mg2
_chemical_formula_sum 'La10 Pr10 Mg4'
_symmetry_space_group_name_H-M 'C 1 2/m 1'
_symmetry_Int_Tables_number 12
_symmetry_space_group_name_Hall '-C 2y'
_cell_length_a 18.453
_cell_length_b 3.786
_cell_length_c 13.593
_cell_angle_alpha 90.00
_cell_angle_beta 118.91
_cell_angle_gamma 90.00
loop_
_atom_site_label
_atom_site_type_symbol
_atom_site_fract_x
_atom_site_fract_y
_atom_site_fract_z
_atom_site_occupancy
La1 La 0.000 0.000 0.000 1
La2 La 0.116 0.000 0.756 1
La3 La 0.161 0.000 0.484 1
Pr1 Pr 0.000 0.500 0.500 1
Pr2 Pr 0.171 0.500 0.012 1
Pr3 Pr 0.207 0.000 0.258 1
Mg1 Mg 0.041 0.500 0.240 1

---

# TbSmCl3 | Alexandria | PBE-GGA | relaxed
# Formation energy without anion corrections, eV/atom: -1.841
# Final energy, eV per atom: -4.819
data_TbSmCl3
_chemical_formula_sum 'Tb4 Sm4 Cl12'
_symmetry_space_group_name_H-M 'C 1 2/m 1'
_symmetry_Int_Tables_number 12
_symmetry_space_group_name_Hall '-C 2y'
_cell_length_a 15.850
_cell_length_b 3.906
_cell_length_c 10.567
_cell_angle_alpha 90.00
_cell_angle_beta 119.47
_cell_angle_gamma 90.00
loop_
_atom_site_label
_atom_site_type_symbol
_atom_site_fract_x
_atom_site_fract_y
_atom_site_fract_z
_atom_site_occupancy
Tb1 Tb 0.086 0.000 0.452 1
Sm1 Sm 0.140 0.500 0.791 1
Cl1 Cl 0.046 0.500 0.245 1
Cl2 Cl 0.159 0.000 0.007 1
Cl3 Cl 0.225 0.500 0.616 1

---

# MgSc2Ni | Alexandria | PBE-GGA | relaxed
# Energy of formation, kcal/mol of atoms: -2.32
# Final energy, eV per atom: -5.110
data_MgSc2Ni
_chemical_formula_sum 'Mg3 Sc6 Ni3'
_symmetry_space_group_name_H-M 'R -3 m'
_symmetry_Int_Tables_number 166
_symmetry_space_group_name_Hall '-R 3 2"'
_cell_length_a 3.3047
_cell_length_b 3.3047
_cell_length_c 26.5569
_cell_angle_alpha 90.00
_cell_angle_beta 90.00
_cell_angle_gamma 120.00
loop_
_atom_site_label
_atom_site_type_symbol
_atom_site_fract_x
_atom_site_fract_y
_atom_site_fract_z
_atom_site_occupancy
Mg1 Mg 0.0000 0.0000 0.0000 1
Sc1 Sc 0.0000 0.0000 0.2331 1
Ni1 Ni 0.0000 0.0000 0.5000 1

---

# SrTcOs | Alexandria | PBE-GGA | relaxed
# Energy above the most stable polymorph in this dataset, meV/atom: 40
# Energy of formation, kcal/mol of atoms: 6.70
# Final energy, eV per atom: -7.469
data_SrTcOs
_chemical_formula_sum 'Sr4 Tc4 Os4'
_symmetry_space_group_name_H-M 'C 1 m 1'
_symmetry_Int_Tables_number 8
_symmetry_space_group_name_Hall 'C -2y'
_cell_length_a 11.472
_cell_length_b 4.455
_cell_length_c 5.168
_cell_angle_alpha 90.00
_cell_angle_beta 90.36
_cell_angle_gamma 90.00
loop_
_atom_site_label
_atom_site_type_symbol
_atom_site_fract_x
_atom_site_fract_y
_atom_site_fract_z
_atom_site_occupancy
Sr1 Sr 0.000 0.000 0.000 1
Sr2 Sr 0.052 0.500 0.497 1
Tc1 Tc 0.238 0.500 0.002 1
Tc2 Tc 0.277 0.000 0.745 1
Os1 Os 0.277 0.000 0.244 1
Os2 Os 0.317 0.500 0.501 1

---

# TlCdPb2 | Alexandria | PBE-GGA | relaxed
# Energy above the most stable polymorph in this dataset, meV/atom: 26
# Energy of formation, kcal/mol of atoms: 0.99
# Final energy, eV per atom: -2.632
data_TlCdPb2
_chemical_formula_sum 'Tl2 Cd2 Pb4'
_symmetry_space_group_name_H-M 'C m m m'
_symmetry_Int_Tables_number 65
_symmetry_space_group_name_Hall '-C 2 2'
_cell_length_a 3.765
_cell_length_b 5.715
_cell_length_c 11.011
_cell_angle_alpha 90.00
_cell_angle_beta 90.00
_cell_angle_gamma 90.00
loop_
_atom_site_label
_atom_site_type_symbol
_atom_site_fract_x
_atom_site_fract_y
_atom_site_fract_z
_atom_site_occupancy
Tl1 Tl 0.000 0.000 0.000 1
Cd1 Cd 0.000 0.000 0.500 1
Pb1 Pb 0.000 0.500 0.265 1

---

# HfNbCoRe | Alexandria | PBE-GGA | relaxed
# Energy of formation, kcal/mol of atoms: -6.27
# Final energy, eV per atom: -10.166
data_HfNbCoRe
_chemical_formula_sum 'Hf4 Nb4 Co4 Re4'
_symmetry_space_group_name_H-M 'F -4 3 m'
_symmetry_Int_Tables_number 216
_symmetry_space_group_name_Hall 'F -4 2 3'
_cell_length_a 6.377
_cell_length_b 6.377
_cell_length_c 6.377
_cell_angle_alpha 90.00
_cell_angle_beta 90.00
_cell_angle_gamma 90.00
loop_
_atom_site_label
_atom_site_type_symbol
_atom_site_fract_x
_atom_site_fract_y
_atom_site_fract_z
_atom_site_occupancy
Hf1 Hf 0.000 0.000 0.000 1
Nb1 Nb 0.000 0.000 0.500 1
Co1 Co 0.250 0.250 0.750 1
Re1 Re 0.250 0.250 0.250 1

---

# Zr2ScVSe | Alexandria | PBE-GGA | relaxed
# Formation energy without anion corrections, eV/atom: 0.423
# Final energy, eV per atom: -6.784
data_Zr2ScVSe
_chemical_formula_sum 'Zr2 Sc1 V1 Se1'
_symmetry_space_group_name_H-M 'P 4/m m m'
_symmetry_Int_Tables_number 123
_symmetry_space_group_name_Hall '-P 4 2'
_cell_length_a 4.766
_cell_length_b 4.766
_cell_length_c 5.269
_cell_angle_alpha 90.00
_cell_angle_beta 90.00
_cell_angle_gamma 90.00
loop_
_atom_site_label
_atom_site_type_symbol
_atom_site_fract_x
_atom_site_fract_y
_atom_site_fract_z
_atom_site_occupancy
Zr1 Zr 0.000 0.500 0.000 1
Sc1 Sc 0.000 0.000 0.500 1
V1 V 0.000 0.000 0.000 1
Se1 Se 0.500 0.500 0.500 1

---

# Pm2Y6HoTh | Alexandria | PBE-GGA | relaxed
# Energy of formation, kcal/mol of atoms: 3.40
# Final energy, eV per atom: -5.881
data_Pm2Y6HoTh
_chemical_formula_sum 'Pm8 Y24 Ho4 Th4'
_symmetry_space_group_name_H-M 'C 1 2/c 1'
_symmetry_Int_Tables_number 15
_symmetry_space_group_name_Hall '-C 2yc'
_cell_length_a 9.139
_cell_length_b 14.928
_cell_length_c 9.807
_cell_angle_alpha 90.00
_cell_angle_beta 99.70
_cell_angle_gamma 90.00
loop_
_atom_site_label
_atom_site_type_symbol
_atom_site_fract_x
_atom_site_fract_y
_atom_site_fract_z
_atom_site_occupancy
Pm1 Pm 0.241 0.048 0.048 1
Y1 Y 0.070 0.186 0.443 1
Y2 Y 0.097 0.396 0.617 1
Y3 Y 0.203 0.221 0.816 1
Ho1 Ho 0.000 0.405 0.250 1
Th1 Th 0.000 0.019 0.750 1

---

# Pr3PaO | Alexandria | PBE-GGA | relaxed
# Formation energy without anion corrections, eV/atom: -0.822
# Final energy, eV per atom: -6.580
data_Pr3PaO
_chemical_formula_sum 'Pr3 Pa1 O1'
_symmetry_space_group_name_H-M 'P m -3 m'
_symmetry_Int_Tables_number 221
_symmetry_space_group_name_Hall '-P 4 2 3'
_cell_length_a 5.054
_cell_length_b 5.054
_cell_length_c 5.054
_cell_angle_alpha 90.00
_cell_angle_beta 90.00
_cell_angle_gamma 90.00
loop_
_atom_site_label
_atom_site_type_symbol
_atom_site_fract_x
_atom_site_fract_y
_atom_site_fract_z
_atom_site_occupancy
Pr1 Pr 0.000 0.000 0.500 1
Pa1 Pa 0.500 0.500 0.500 1
O1 O 0.000 0.000 0.000 1

---

# HfMgAuI2 | Alexandria | PBE-GGA | relaxed
# Formation energy without anion corrections, eV/atom: 0.762
# Final energy, eV per atom: -2.824
data_HfMgAuI2
_chemical_formula_sum 'Hf1 Mg1 Au1 I2'
_symmetry_space_group_name_H-M 'P 4/m m m'
_symmetry_Int_Tables_number 123
_symmetry_space_group_name_Hall '-P 4 2'
_cell_length_a 5.694
_cell_length_b 5.694
_cell_length_c 5.088
_cell_angle_alpha 90.00
_cell_angle_beta 90.00
_cell_angle_gamma 90.00
loop_
_atom_site_label
_atom_site_type_symbol
_atom_site_fract_x
_atom_site_fract_y
_atom_site_fract_z
_atom_site_occupancy
Hf1 Hf 0.000 0.000 0.000 1
Mg1 Mg 0.500 0.500 0.000 1
Au1 Au 0.500 0.500 0.500 1
I1 I 0.000 0.500 0.500 1

---

# KBC | Alexandria | PBE-GGA | relaxed
# Energy of formation, kcal/mol of atoms: 0.28
# Final energy, eV per atom: -5.654
data_KBC
_chemical_formula_sum 'K2 B2 C2'
_symmetry_space_group_name_H-M 'P 63/m m c'
_symmetry_Int_Tables_number 194
_symmetry_space_group_name_Hall '-P 6c 2c'
_cell_length_a 5.1126
_cell_length_b 5.1126
_cell_length_c 5.6616
_cell_angle_alpha 90.00
_cell_angle_beta 90.00
_cell_angle_gamma 120.00
loop_
_atom_site_label
_atom_site_type_symbol
_atom_site_fract_x
_atom_site_fract_y
_atom_site_fract_z
_atom_site_occupancy
K1 K 0.3333 0.6667 0.2500 1
B1 B 0.0000 0.0000 0.2500 1
C1 C 0.0000 0.0000 0.0000 1

---

# PbBrN2F | Alexandria | PBE-GGA | relaxed
# Formation energy without anion corrections, eV/atom: 1.119
# Energy above the most stable polymorph in this dataset, meV/atom: 70
# Final energy, eV per atom: -3.661
data_PbBrN2F
_chemical_formula_sum 'Pb1 Br1 N2 F1'
_symmetry_space_group_name_H-M 'P 4/m m m'
_symmetry_Int_Tables_number 123
_symmetry_space_group_name_Hall '-P 4 2'
_cell_length_a 3.969
_cell_length_b 3.969
_cell_length_c 4.926
_cell_angle_alpha 90.00
_cell_angle_beta 90.00
_cell_angle_gamma 90.00
loop_
_atom_site_label
_atom_site_type_symbol
_atom_site_fract_x
_atom_site_fract_y
_atom_site_fract_z
_atom_site_occupancy
Pb1 Pb 0.000 0.000 0.000 1
Br1 Br 0.500 0.500 0.500 1
N1 N 0.000 0.500 0.500 1
F1 F 0.500 0.500 0.000 1

---

no.,spin magnetization (μB per atom)
1,0.000
2,0.000
3,0.000
4,0.000
5,0.000
6,0.218
7,0.000
8,0.000
9,0.002
10,0.234
11,0.000
12,0.118